[1]
First-principles (PBE) data for crystalline CrCoPd6 at its relaxed geometry, as listed in Alexandria.

The structure in CIF format:
```
data_CrCoPd6
_symmetry_space_group_name_H-M 'P 4/m m m'
_symmetry_Int_Tables_number 123
_symmetry_space_group_name_Hall '-P 4 2'
_cell_length_a 3.884
_cell_length_b 3.884
_cell_length_c 7.816
_cell_angle_alpha 90.00
_cell_angle_beta 90.00
_cell_angle_gamma 90.00
loop_
_atom_site_label
_atom_site_fract_x
_atom_site_fract_y
_atom_site_fract_z
_atom_site_occupancy
Cr1 0.000 0.000 0.000 1
Co1 0.000 0.000 0.500 1
Pd1 0.000 0.500 0.253 1
Pd2 0.500 0.500 0.000 1
Pd3 0.500 0.500 0.500 1
```

Uncorrected energy   -5.9908 eV per atom
N(E_F)   1.664 states/eV per atom

[2]
First-principles (PBE) data for crystalline Cr2CoPd at its relaxed geometry, as listed in Alexandria.

The structure in CIF format:
```
data_Cr2CoPd
_symmetry_space_group_name_H-M 'I -4 2 d'
_symmetry_Int_Tables_number 122
_symmetry_space_group_name_Hall 'I -4 2bw'
_cell_length_a 3.548
_cell_length_b 3.548
_cell_length_c 16.973
_cell_angle_alpha 90.00
_cell_angle_beta 90.00
_cell_angle_gamma 90.00
loop_
_atom_site_label
_atom_site_fract_x
_atom_site_fract_y
_atom_site_fract_z
_atom_site_occupancy
Cr1 0.199 0.250 0.125 1
Co1 0.000 0.000 0.000 1
Pd1 0.000 0.000 0.500 1
```

Uncorrected energy   -7.2907 eV per atom
Energy above the most stable polymorph in this dataset   303 meV per atom
N(E_F)   1.462 states/eV per atom